(1)
Pm4Pr2Ge3O2 | GGA-PBE | optimized geometry

The structure in POSCAR format:
```
Pm4Pr2Ge3O2
1.0
-2.3491 2.3491 12.3651
2.3491 -2.3491 12.3651
2.3491 2.3491 -12.3651
Pm Pr Ge O
4 2 3 2
direct
0.0796 0.5796 0.5000
0.4204 0.9204 0.5000
0.5796 0.0796 0.5000
0.9204 0.4204 0.5000
0.1982 0.1982 0.0000
0.8018 0.8018 0.0000
0.3255 0.3255 0.0000
0.5000 0.5000 0.0000
0.6745 0.6745 0.0000
0.0980 0.0980 0.0000
0.9020 0.9020 0.0000
```

Computed properties:
D(E_F), states/eV per atom: 0.64
Space group: I4/mmm
Uncorrected formation energy, meV/atom: -1504


(2)
CeTh2UP4 | GGA-PBE | optimized geometry

The structure in POSCAR format:
```
CeTh2UP4
1.0
5.7796 0.0000 0.0000
0.0000 5.7796 0.0000
0.0000 0.0000 11.5556
Ce Th U P
2 4 2 8
direct
0.0000 0.0000 0.0000
0.5000 0.5000 0.5000
0.0000 0.0000 0.5000
0.0000 0.5000 0.2500
0.5000 0.0000 0.7500
0.5000 0.5000 0.0000
0.0000 0.5000 0.7500
0.5000 0.0000 0.2500
0.0000 0.0000 0.2484
0.0000 0.0000 0.7516
0.0000 0.5000 0.5063
0.0000 0.5000 0.9937
0.5000 0.0000 0.0063
0.5000 0.0000 0.4937
0.5000 0.5000 0.2516
0.5000 0.5000 0.7484
```

Computed properties:
D(E_F), states/eV per atom: 1.49
Calculated formation energy, kJ per mole of atoms: -133.1
Space group: I-4m2


(3)
Ca2Ac3Mg2 | GGA-PBE | optimized geometry

The structure in POSCAR format:
```
Ca2Ac3Mg2
1.0
3.9973 0.0000 0.0000
0.0000 34.5463 0.0000
0.0000 0.0000 3.9293
Ca Ac Mg
4 6 4
direct
0.0000 0.2024 0.0000
0.0000 0.7976 0.0000
0.5000 0.2976 0.0000
0.5000 0.7024 0.0000
0.0000 0.0814 0.0000
0.0000 0.5000 0.5000
0.0000 0.9186 0.0000
0.5000 0.0000 0.5000
0.5000 0.4186 0.0000
0.5000 0.5814 0.0000
0.0000 0.3543 0.5000
0.0000 0.6457 0.5000
0.5000 0.1457 0.5000
0.5000 0.8543 0.5000
```

Computed properties:
D(E_F), states/eV per atom: 1.22
Calculated formation energy, kJ per mole of atoms: 0.5
Space group: Cmmm


(4)
TcB2H | GGA-PBE | optimized geometry

The structure in POSCAR format:
```
TcB2H
1.0
5.1036 0.0000 0.0000
0.0000 5.1036 0.0000
0.0000 0.0000 5.1036
Tc B H
4 8 4
direct
0.0000 0.0000 0.0000
0.0000 0.5000 0.5000
0.5000 0.0000 0.5000
0.5000 0.5000 0.0000
0.2500 0.2500 0.2500
0.2500 0.2500 0.7500
0.2500 0.7500 0.2500
0.2500 0.7500 0.7500
0.7500 0.2500 0.2500
0.7500 0.2500 0.7500
0.7500 0.7500 0.2500
0.7500 0.7500 0.7500
0.0000 0.0000 0.5000
0.0000 0.5000 0.0000
0.5000 0.0000 0.0000
0.5000 0.5000 0.5000
```

Computed properties:
D(E_F), states/eV per atom: 0.44
Space group: Fm-3m
Energy relative to the lowest polymorph listed for this composition, meV/atom: 624.9


(5)
BaMg2In | GGA-PBE | optimized geometry

The structure in POSCAR format:
```
BaMg2In
1.0
3.6339 0.0000 0.0000
0.0000 5.1848 0.0000
-1.2158 0.0000 6.6765
Ba Mg In
1 2 1
direct
0.0000 0.0000 0.0000
0.3608 0.5000 0.7081
0.6392 0.5000 0.2919
0.5000 0.0000 0.5000
```

Computed properties:
D(E_F), states/eV per atom: 0.61
Calculated formation energy, kJ per mole of atoms: -8.2
Space group: P2/m


(6)
SrAcErMg | GGA-PBE | optimized geometry

The structure in POSCAR format:
```
SrAcErMg
1.0
8.3758 0.0000 0.0000
0.0000 8.3758 0.0000
0.0000 0.0000 8.3758
Sr Ac Er Mg
4 4 4 4
direct
0.0000 0.0000 0.0000
0.0000 0.5000 0.5000
0.5000 0.0000 0.5000
0.5000 0.5000 0.0000
0.2500 0.2500 0.2500
0.2500 0.7500 0.7500
0.7500 0.2500 0.7500
0.7500 0.7500 0.2500
0.0000 0.0000 0.5000
0.0000 0.5000 0.0000
0.5000 0.0000 0.0000
0.5000 0.5000 0.5000
0.2500 0.2500 0.7500
0.2500 0.7500 0.2500
0.7500 0.2500 0.2500
0.7500 0.7500 0.7500
```

Computed properties:
D(E_F), states/eV per atom: 0.55
Calculated formation energy, kJ per mole of atoms: 18.2
Space group: F-43m


(7)
Si2AgOs | GGA-PBE | optimized geometry

The structure in POSCAR format:
```
Si2AgOs
1.0
5.6039 0.0000 0.0000
0.0000 8.1832 0.0000
-1.2873 0.0000 2.7494
Si Ag Os
4 2 2
direct
0.2500 0.2500 0.0000
0.2500 0.7500 0.0000
0.7500 0.2500 0.0000
0.7500 0.7500 0.0000
0.0000 0.0000 0.0000
0.5000 0.5000 0.0000
0.0000 0.5000 0.0000
0.5000 0.0000 0.0000
```

Computed properties:
D(E_F), states/eV per atom: 0.49
Space group: C2/m
Energy relative to the lowest polymorph listed for this composition, meV/atom: 414.2
Uncorrected formation energy, meV/atom: 446


(8)
K2HoZrTe4 | GGA-PBE | optimized geometry

The structure in POSCAR format:
```
K2HoZrTe4
1.0
7.5336 0.0000 0.0000
0.0000 4.3056 0.0000
-2.4638 0.0000 8.3238
K Ho Zr Te
2 1 1 4
direct
0.0000 0.0000 0.0000
0.5000 0.5000 0.0000
0.0000 0.5000 0.5000
0.5000 0.0000 0.5000
0.2451 0.0000 0.7083
0.2741 0.5000 0.2957
0.7259 0.5000 0.7043
0.7549 0.0000 0.2917
```

Computed properties:
D(E_F), states/eV per atom: 0.42
Space group: P2/m
Uncorrected formation energy, meV/atom: -1156


(9)
Pm4Y2Sc3 | GGA-PBE | optimized geometry

The structure in POSCAR format:
```
Pm4Y2Sc3
1.0
8.6829 -1.8297 0.0000
8.6829 1.8297 0.0000
-2.2359 0.0000 8.6896
Pm Y Sc
4 2 3
direct
0.0280 0.0280 0.3213
0.2949 0.2949 0.6901
0.7051 0.7051 0.3099
0.9720 0.9720 0.6787
0.1586 0.1586 0.9508
0.8414 0.8414 0.0492
0.3735 0.3735 0.3740
0.5000 0.5000 0.0000
0.6265 0.6265 0.6260
```

Computed properties:
D(E_F), states/eV per atom: 1.39
Calculated formation energy, kJ per mole of atoms: 5.4
Space group: C2/m


(10)
PmDy2TcN4 | GGA-PBE | optimized geometry

The structure in POSCAR format:
```
PmDy2TcN4
1.0
1.7269 -5.8470 0.0000
1.7269 5.8470 0.0000
0.0000 0.0000 11.6086
Pm Dy Tc N
2 4 2 8
direct
0.1246 0.8754 0.7500
0.8754 0.1246 0.2500
0.3686 0.6314 0.5399
0.3686 0.6314 0.9601
0.6314 0.3686 0.0399
0.6314 0.3686 0.4601
0.1400 0.8600 0.2500
0.8600 0.1400 0.7500
0.0000 0.0000 0.0000
0.0000 0.0000 0.5000
0.2640 0.7360 0.1285
0.2640 0.7360 0.3715
0.4415 0.5585 0.7500
0.5585 0.4415 0.2500
0.7360 0.2640 0.6285
0.7360 0.2640 0.8715
```

Computed properties:
D(E_F), states/eV per atom: 0.20
Space group: Cmcm
Uncorrected formation energy, meV/atom: -1090


(11)
Li2YPd9 | GGA-PBE | optimized geometry

The structure in POSCAR format:
```
Li2YPd9
1.0
4.0399 0.0000 0.0000
0.0000 4.0399 0.0000
0.0000 0.0000 11.5767
Li Y Pd
2 1 9
direct
0.0000 0.0000 0.1572
0.0000 0.0000 0.8428
0.0000 0.0000 0.5000
0.0000 0.5000 0.0000
0.0000 0.5000 0.3181
0.0000 0.5000 0.6819
0.5000 0.0000 0.0000
0.5000 0.0000 0.3181
0.5000 0.0000 0.6819
0.5000 0.5000 0.1586
0.5000 0.5000 0.5000
0.5000 0.5000 0.8414
```

Computed properties:
D(E_F), states/eV per atom: 0.96
Calculated formation energy, kJ per mole of atoms: -42.7
Space group: P4/mmm


(12)
Nd2Ag2HgPd5 | GGA-PBE | optimized geometry

The structure in POSCAR format:
```
Nd2Ag2HgPd5
1.0
9.7860 0.0000 0.0000
0.0000 9.7860 0.0000
0.0000 0.0000 4.1409
Nd Ag Hg Pd
4 4 2 10
direct
0.1765 0.3235 0.0000
0.3235 0.8235 0.0000
0.6765 0.1765 0.0000
0.8235 0.6765 0.0000
0.1215 0.6215 0.0000
0.3785 0.1215 0.0000
0.6215 0.8785 0.0000
0.8785 0.3785 0.0000
0.0000 0.0000 0.0000
0.5000 0.5000 0.0000
0.0000 0.5000 0.5000
0.0658 0.7985 0.5000
0.2015 0.0658 0.5000
0.2985 0.5658 0.5000
0.4342 0.2985 0.5000
0.5000 0.0000 0.5000
0.5658 0.7015 0.5000
0.7015 0.4342 0.5000
0.7985 0.9342 0.5000
0.9342 0.2015 0.5000
```

Computed properties:
D(E_F), states/eV per atom: 0.38
Calculated formation energy, kJ per mole of atoms: -43.0
Space group: P4/mbm


(13)
MgSe2N | GGA-PBE | optimized geometry

The structure in POSCAR format:
```
MgSe2N
1.0
4.1902 0.0000 0.0000
-2.0951 3.6288 0.0000
0.0000 0.0000 18.5048
Mg Se N
3 6 3
direct
0.0000 0.0000 0.0000
0.3333 0.6667 0.6667
0.6667 0.3333 0.3333
0.0000 0.0000 0.4053
0.0000 0.0000 0.5947
0.3333 0.6667 0.0719
0.3333 0.6667 0.2614
0.6667 0.3333 0.7386
0.6667 0.3333 0.9281
0.0000 0.0000 0.5000
0.3333 0.6667 0.1667
0.6667 0.3333 0.8333
```

Computed properties:
D(E_F), states/eV per atom: 0.53
Space group: R-3m
Energy relative to the lowest polymorph listed for this composition, meV/atom: 0.0
Uncorrected formation energy, meV/atom: 352


(14)
Tb7Er2Tl2 | GGA-PBE | optimized geometry

The structure in POSCAR format:
```
Tb7Er2Tl2
1.0
-1.8179 9.9393 4.8398
1.8179 -9.9393 4.8398
1.8179 9.9393 -4.8398
Tb Er Tl
7 2 2
direct
0.0000 0.0000 0.0000
0.0015 0.3418 0.6597
0.0806 0.7139 0.3667
0.3472 0.7139 0.6333
0.4041 0.5347 0.8694
0.6653 0.5347 0.1306
0.6821 0.3418 0.3403
0.3483 0.3483 0.0000
0.6761 0.1761 0.5000
0.2983 0.0548 0.2435
0.8112 0.0548 0.7565
```

Computed properties:
D(E_F), states/eV per atom: 1.44
Calculated formation energy, kJ per mole of atoms: -2.3
Space group: Imm2


(15)
BeAg2Cl | GGA-PBE | optimized geometry

The structure in POSCAR format:
```
BeAg2Cl
1.0
3.1441 0.0000 0.0000
-1.5720 2.7229 0.0000
0.0000 0.0000 23.3636
Be Ag Cl
3 6 3
direct
0.0000 0.0000 0.0000
0.3333 0.6667 0.6667
0.6667 0.3333 0.3333
0.0000 0.0000 0.2592
0.0000 0.0000 0.7408
0.3333 0.6667 0.4075
0.3333 0.6667 0.9259
0.6667 0.3333 0.0741
0.6667 0.3333 0.5925
0.0000 0.0000 0.5000
0.3333 0.6667 0.1667
0.6667 0.3333 0.8333
```

Computed properties:
D(E_F), states/eV per atom: 0.18
Space group: R-3m
Energy relative to the lowest polymorph listed for this composition, meV/atom: 225.7
Uncorrected formation energy, meV/atom: 111


(16)
ScTlRh | GGA-PBE | optimized geometry

The structure in POSCAR format:
```
ScTlRh
1.0
6.4353 0.0000 0.0000
0.0000 6.4353 0.0000
0.0000 0.0000 6.4353
Sc Tl Rh
4 4 4
direct
0.0000 0.0000 0.0000
0.0000 0.5000 0.5000
0.5000 0.0000 0.5000
0.5000 0.5000 0.0000
0.0000 0.0000 0.5000
0.0000 0.5000 0.0000
0.5000 0.0000 0.0000
0.5000 0.5000 0.5000
0.2500 0.2500 0.7500
0.2500 0.7500 0.2500
0.7500 0.2500 0.2500
0.7500 0.7500 0.7500
```

Computed properties:
D(E_F), states/eV per atom: 0.49
Calculated formation energy, kJ per mole of atoms: -36.5
Space group: F-43m


(17)
PuTcSnRh | GGA-PBE | optimized geometry

The structure in POSCAR format:
```
PuTcSnRh
1.0
6.6479 0.0000 0.0000
0.0000 6.6479 0.0000
0.0000 0.0000 6.6479
Pu Tc Sn Rh
4 4 4 4
direct
0.0000 0.0000 0.0000
0.0000 0.5000 0.5000
0.5000 0.0000 0.5000
0.5000 0.5000 0.0000
0.2500 0.2500 0.7500
0.2500 0.7500 0.2500
0.7500 0.2500 0.2500
0.7500 0.7500 0.7500
0.0000 0.0000 0.5000
0.0000 0.5000 0.0000
0.5000 0.0000 0.0000
0.5000 0.5000 0.5000
0.2500 0.2500 0.2500
0.2500 0.7500 0.7500
0.7500 0.2500 0.7500
0.7500 0.7500 0.2500
```

Computed properties:
D(E_F), states/eV per atom: 0.80
Calculated formation energy, kJ per mole of atoms: -29.9
Space group: F-43m


(18)
SmB4Rh7 | GGA-PBE | optimized geometry

The structure in POSCAR format:
```
SmB4Rh7
1.0
2.9052 0.0000 0.0000
0.0000 5.5733 0.0000
0.0000 0.0000 9.6221
Sm B Rh
1 4 7
direct
0.0000 0.0000 0.0000
0.0000 0.0000 0.3311
0.0000 0.0000 0.6689
0.0000 0.5000 0.1654
0.0000 0.5000 0.8346
0.0000 0.5000 0.5000
0.5000 0.0000 0.5000
0.5000 0.2570 0.2583
0.5000 0.2570 0.7417
0.5000 0.5000 0.0000
0.5000 0.7430 0.2583
0.5000 0.7430 0.7417
```

Computed properties:
D(E_F), states/eV per atom: 0.78
Calculated formation energy, kJ per mole of atoms: -32.9
Space group: Pmmm


(19)
Ba2TeOs2 | GGA-PBE | optimized geometry

The structure in POSCAR format:
```
Ba2TeOs2
1.0
7.2561 0.0000 0.0000
0.0000 7.2561 0.0000
0.0000 0.0000 5.1890
Ba Te Os
4 2 4
direct
0.1782 0.3218 0.0000
0.3218 0.8218 0.0000
0.6782 0.1782 0.0000
0.8218 0.6782 0.0000
0.0000 0.0000 0.5000
0.5000 0.5000 0.5000
0.1133 0.6133 0.5000
0.3867 0.1133 0.5000
0.6133 0.8867 0.5000
0.8867 0.3867 0.5000
```

Computed properties:
D(E_F), states/eV per atom: 0.89
Space group: P4/mbm
Energy relative to the lowest polymorph listed for this composition, meV/atom: 0.0
Uncorrected formation energy, meV/atom: 306


(20)
CsSbP | GGA-PBE | optimized geometry

The structure in POSCAR format:
```
CsSbP
1.0
4.7598 0.0000 0.0000
1.5594 7.3063 0.0000
1.5726 2.7236 6.8074
Cs Sb P
2 2 2
direct
0.1722 0.3044 0.3015
0.8278 0.6956 0.6985
0.4990 0.7812 0.2212
0.5010 0.2188 0.7788
0.1955 0.9286 0.9315
0.8045 0.0714 0.0685
```

Computed properties:
Space group: P-1
Energy relative to the lowest polymorph listed for this composition, meV/atom: 0.0
Uncorrected formation energy, meV/atom: -304